No. 1
{
  "formula": "SrBe2Co",
  "functional": "GGA-PBE",
  "state": "relaxed",
  "lattice_angstrom": [[-1.914, 2.754, 3.512], [1.914, -2.754, 3.512], [1.914, 2.754, -3.512]],
  "species": ["Sr", "Be", "Be", "Co"],
  "frac_coords": [[0.000, 0.000, 0.000], [0.499, 0.499, 0.000], [0.649, 0.149, 0.500], [0.362, 0.862, 0.500]],
  "spacegroup": "Imm2 (44)",
  "de_polymorph_mev_per_atom": 474,
  "ef_ev_per_fu": 2.1,
  "crystal_system": "orthorhombic"
}

---

No. 2
{
  "formula": "HoB2Os",
  "functional": "GGA-PBE",
  "state": "relaxed",
  "lattice_angstrom": [[3.724, 0.000, 0.000], [0.000, 2.484, 3.174], [0.000, -2.484, 3.174]],
  "species": ["Ho", "B", "B", "Os"],
  "frac_coords": [[0.000, 0.000, 0.000], [0.500, 0.537, 0.883], [0.500, 0.883, 0.537], [0.500, 0.402, 0.402]],
  "spacegroup": "Amm2 (38)",
  "de_polymorph_mev_per_atom": 294,
  "ef_ev_per_fu": -1.2,
  "crystal_system": "orthorhombic"
}

---

No. 3
{
  "formula": "Ca2ZrZn",
  "functional": "GGA-PBE",
  "state": "relaxed",
  "lattice_angstrom": [[-4.267, 4.267, 3.107], [4.267, -4.267, 3.107], [4.267, 4.267, -3.107]],
  "species": ["Ca", "Ca", "Ca", "Ca", "Zr", "Zr", "Zn", "Zn"],
  "frac_coords": [[0.080, 0.625, 0.956], [0.375, 0.330, 0.456], [0.670, 0.125, 0.044], [0.875, 0.920, 0.544], [0.250, 0.750, 0.500], [0.500, 0.500, 0.000], [0.000, 0.000, 0.000], [0.750, 0.250, 0.500]],
  "spacegroup": "I-42d (122)",
  "ef_ev_per_fu": 1.7,
  "crystal_system": "tetragonal"
}

---

No. 4
{
  "formula": "Ga2Ag2Pb",
  "functional": "GGA-PBE",
  "state": "relaxed",
  "lattice_angstrom": [[8.271, 0.000, 0.000], [0.000, 8.271, 0.000], [0.000, 0.000, 3.039]],
  "species": ["Ga", "Ga", "Ga", "Ga", "Ag", "Ag", "Ag", "Ag", "Pb", "Pb"],
  "frac_coords": [[0.128, 0.372, 0.000], [0.372, 0.872, 0.000], [0.628, 0.128, 0.000], [0.872, 0.628, 0.000], [0.165, 0.665, 0.500], [0.335, 0.165, 0.500], [0.665, 0.835, 0.500], [0.835, 0.335, 0.500], [0.000, 0.000, 0.000], [0.500, 0.500, 0.000]],
  "spacegroup": "P4/mbm (127)",
  "de_polymorph_mev_per_atom": 19,
  "ef_ev_per_fu": 0.4,
  "crystal_system": "tetragonal"
}

---

Repeat the fourth record exactly.
{
  "formula": "Ga2Ag2Pb",
  "functional": "GGA-PBE",
  "state": "relaxed",
  "lattice_angstrom": [[8.271, 0.000, 0.000], [0.000, 8.271, 0.000], [0.000, 0.000, 3.039]],
  "species": ["Ga", "Ga", "Ga", "Ga", "Ag", "Ag", "Ag", "Ag", "Pb", "Pb"],
  "frac_coords": [[0.128, 0.372, 0.000], [0.372, 0.872, 0.000], [0.628, 0.128, 0.000], [0.872, 0.628, 0.000], [0.165, 0.665, 0.500], [0.335, 0.165, 0.500], [0.665, 0.835, 0.500], [0.835, 0.335, 0.500], [0.000, 0.000, 0.000], [0.500, 0.500, 0.000]],
  "spacegroup": "P4/mbm (127)",
  "de_polymorph_mev_per_atom": 19,
  "ef_ev_per_fu": 0.4,
  "crystal_system": "tetragonal"
}